No. 1
# GGA-PBE AcIn4Bi, optimized geometry
# DOS(E_F): 0.91 states/eV per atom
# Calculated volume: 29.61 Å³/atom
# Crystal system: cubic
# Energy of formation from the pure elements: -1.079 eV per formula unit
data_AcIn4Bi
_space_group_name_H-M_alt 'F -4 3 m'
_space_group_IT_number 216
_space_group_name_Hall 'F -4 2 3'
_cell_length_a 8.924
_cell_length_b 8.924
_cell_length_c 8.924
_cell_angle_alpha 90.00
_cell_angle_beta 90.00
_cell_angle_gamma 90.00
loop_
_atom_site_label
_atom_site_type_symbol
_atom_site_fract_x
_atom_site_fract_y
_atom_site_fract_z
_atom_site_occupancy
Ac1 Ac 0.000 0.000 0.000 1
In1 In 0.125 0.125 0.625 1
Bi1 Bi 0.250 0.250 0.250 1

=====

No. 2
# GGA-PBE KTaW2, optimized geometry
# DOS(E_F): 0.98 states/eV per atom
# Calculated volume: 19.04 Å³/atom
# Crystal system: monoclinic
# Energy of formation from the pure elements: 5.813 eV per formula unit
data_KTaW2
_space_group_name_H-M_alt 'C 1 2/m 1'
_space_group_IT_number 12
_space_group_name_Hall '-C 2y'
_cell_length_a 5.778
_cell_length_b 10.037
_cell_length_c 2.685
_cell_angle_alpha 90.00
_cell_angle_beta 101.89
_cell_angle_gamma 90.00
loop_
_atom_site_label
_atom_site_type_symbol
_atom_site_fract_x
_atom_site_fract_y
_atom_site_fract_z
_atom_site_occupancy
K1 K 0.000 0.000 0.000 1
Ta1 Ta 0.000 0.500 0.000 1
W1 W 0.250 0.250 0.500 1

=====

No. 3
# GGA-PBE ErHCl2, optimized geometry
# DOS(E_F): 0.00 states/eV per atom
# Calculated volume: 25.93 Å³/atom
# Crystal system: orthorhombic
# Total energy: -4.493 eV/atom
data_ErHCl2
_space_group_name_H-M_alt 'P n n a'
_space_group_IT_number 52
_space_group_name_Hall '-P 2a 2bc'
_cell_length_a 6.916
_cell_length_b 5.927
_cell_length_c 10.120
_cell_angle_alpha 90.00
_cell_angle_beta 90.00
_cell_angle_gamma 90.00
loop_
_atom_site_label
_atom_site_type_symbol
_atom_site_fract_x
_atom_site_fract_y
_atom_site_fract_z
_atom_site_occupancy
Er1 Er 0.250 0.000 0.106 1
H1 H 0.193 0.250 0.250 1
Cl1 Cl 0.069 0.240 0.925 1

=====

No. 4
# GGA-PBE Ca6Pt5, optimized geometry
# DOS(E_F): 0.25 states/eV per atom
# Calculated volume: 23.25 Å³/atom
# Crystal system: orthorhombic
# Energy of formation from the pure elements: -9.440 eV per formula unit
data_Ca6Pt5
_space_group_name_H-M_alt 'I m m m'
_space_group_IT_number 71
_space_group_name_Hall '-I 2 2'
_cell_length_a 4.916
_cell_length_b 7.066
_cell_length_c 14.729
_cell_angle_alpha 90.00
_cell_angle_beta 90.00
_cell_angle_gamma 90.00
loop_
_atom_site_label
_atom_site_type_symbol
_atom_site_fract_x
_atom_site_fract_y
_atom_site_fract_z
_atom_site_occupancy
Ca1 Ca 0.000 0.248 0.000 1
Ca2 Ca 0.000 0.251 0.332 1
Pt1 Pt 0.000 0.000 0.166 1
Pt2 Pt 0.000 0.500 0.167 1
Pt3 Pt 0.000 0.500 0.500 1